# 1
VASP calculation (PBE-GGA) on crystalline Pa2MnVS5 at its relaxed geometry.

Results
Crystal system ... orthorhombic

a b c (Å): 3.6356 7.9135 11.2445
angles (deg): 90.00 90.00 103.28
Fractional coordinates of all 18 atoms:
1 Pa 0.8880 0.7760 0.8432
2 Pa 0.1265 0.2529 0.7019
3 Pa 0.1120 0.2240 0.3432
4 Pa 0.8735 0.7471 0.2019
5 Mn 0.5615 0.1229 0.9249
6 Mn 0.4385 0.8771 0.4249
7 V 0.8224 0.6447 0.5163
8 V 0.1776 0.3553 0.0163
9 S 0.3393 0.6785 0.0202
10 S 0.6982 0.3964 0.8731
11 S 0.4994 0.9987 0.7506
12 S 0.3081 0.6161 0.6698
13 S 0.9799 0.9599 0.5239
14 S 0.6607 0.3215 0.5202
15 S 0.3018 0.6036 0.3731
16 S 0.5006 0.0013 0.2506
17 S 0.6919 0.3839 0.1698
18 S 0.0201 0.0401 0.0239

# 2
VASP calculation (PBE-GGA) on crystalline MnTeCl at its relaxed geometry.

Results
Crystal system ... tetragonal

a b c (Å): 7.7328 7.7328 7.7328
angles (deg): 155.76 155.76 34.55
Fractional coordinates of all 3 atoms:
1 Cl 0.9440 0.9440 0.0000
2 Mn 0.3482 0.3482 0.0000
3 Te 0.7078 0.7078 0.0000

Number 1: VASP energy -7.652 eV/atom. Number 2: VASP energy -4.995 eV/atom.